Entry 1:
Compound: TbCeErTm
Source: Alexandria
Functional: PBE
Structure: relaxed

Cell: 5.6170 5.6170 5.6170 Å, 60.00 60.00 60.00°
Atoms (fractional coordinates):
Tm 0.0000 0.0000 0.0000
Tb 0.7500 0.7500 0.7500
Ce 0.2500 0.2500 0.2500
Er 0.5000 0.5000 0.5000

Computed properties:
The formation energy comes out at 151 meV per atom. The total magnetization comes out at 0.757 μB/f.u. As for the density of states at the Fermi level: 8.99 states/eV/cell.

Entry 2:
Compound: Tb5CeErTm2
Source: Alexandria
Functional: PBE
Structure: relaxed

Cell: 5.6691 11.0823 9.5316 Å, 90.00 90.00 104.82°
Atoms (fractional coordinates):
Tb 0.3942 0.7884 0.0447
Tb 0.7321 0.4643 0.8286
Tb 0.4706 0.9411 0.7478
Tb 0.3046 0.6092 0.7112
Tb 0.9860 0.9721 0.5110
Tb 0.6058 0.2116 0.5447
Tb 0.2679 0.5357 0.3286
Tb 0.5294 0.0589 0.2478
Tb 0.6954 0.3908 0.2112
Tb 0.0140 0.0279 0.0110
Ce 0.8098 0.6195 0.5207
Ce 0.1902 0.3805 0.0207
Er 0.5972 0.1945 0.9278
Er 0.4028 0.8055 0.4278
Tm 0.8860 0.7721 0.8231
Tm 0.1313 0.2626 0.7090
Tm 0.1140 0.2279 0.3231
Tm 0.8687 0.7374 0.2090

Computed properties:
The formation energy comes out at 172 meV per atom. The total magnetization comes out at 0.610 μB/f.u. As for the density of states at the Fermi level: 29.65 states/eV/cell.

What did the first record say?
Compound: TbCeErTm
Source: Alexandria
Functional: PBE
Structure: relaxed

Cell: 5.6170 5.6170 5.6170 Å, 60.00 60.00 60.00°
Atoms (fractional coordinates):
Tm 0.0000 0.0000 0.0000
Tb 0.7500 0.7500 0.7500
Ce 0.2500 0.2500 0.2500
Er 0.5000 0.5000 0.5000

Computed properties:
The formation energy comes out at 151 meV per atom. The total magnetization comes out at 0.757 μB/f.u. As for the density of states at the Fermi level: 8.99 states/eV/cell.

Repeat the first record exactly.
Compound: TbCeErTm
Source: Alexandria
Functional: PBE
Structure: relaxed

Cell: 5.6170 5.6170 5.6170 Å, 60.00 60.00 60.00°
Atoms (fractional coordinates):
Tm 0.0000 0.0000 0.0000
Tb 0.7500 0.7500 0.7500
Ce 0.2500 0.2500 0.2500
Er 0.5000 0.5000 0.5000

Computed properties:
The formation energy comes out at 151 meV per atom. The total magnetization comes out at 0.757 μB/f.u. As for the density of states at the Fermi level: 8.99 states/eV/cell.

What did the second record say?
Compound: Tb5CeErTm2
Source: Alexandria
Functional: PBE
Structure: relaxed

Cell: 5.6691 11.0823 9.5316 Å, 90.00 90.00 104.82°
Atoms (fractional coordinates):
Tb 0.3942 0.7884 0.0447
Tb 0.7321 0.4643 0.8286
Tb 0.4706 0.9411 0.7478
Tb 0.3046 0.6092 0.7112
Tb 0.9860 0.9721 0.5110
Tb 0.6058 0.2116 0.5447
Tb 0.2679 0.5357 0.3286
Tb 0.5294 0.0589 0.2478
Tb 0.6954 0.3908 0.2112
Tb 0.0140 0.0279 0.0110
Ce 0.8098 0.6195 0.5207
Ce 0.1902 0.3805 0.0207
Er 0.5972 0.1945 0.9278
Er 0.4028 0.8055 0.4278
Tm 0.8860 0.7721 0.8231
Tm 0.1313 0.2626 0.7090
Tm 0.1140 0.2279 0.3231
Tm 0.8687 0.7374 0.2090

Computed properties:
The formation energy comes out at 172 meV per atom. The total magnetization comes out at 0.610 μB/f.u. As for the density of states at the Fermi level: 29.65 states/eV/cell.

> The highest total magnetization belongs to which entry?

TbCeErTm